Entry 1:
CsTlN2O: optimized geometry, GGA-PBE.

The volume is 114.2 Å³/f.u. Its crystal system is tetragonal. The formation energy without anion corrections is 1.926 eV per atom.

The space group is P4/mmm (No. 123) and the conventional cell measures 4.988, 4.988 and 4.592 Å, with angles of 90.00, 90.00 and 90.00 degrees. Symmetry generates all atoms from Cs at (0.000, 0.000, 0.000), Tl at (0.500, 0.500, 0.500), N at (0.000, 0.500, 0.000) and O at (0.000, 0.000, 0.500).


Entry 2:
CsTlNO2: optimized geometry, GGA-PBE.

The volume is 104.7 Å³/f.u. Its crystal system is tetragonal. The formation energy without anion corrections is 1.154 eV per atom.

The space group is P4/mmm (No. 123) and the conventional cell measures 4.632, 4.632 and 4.882 Å, with angles of 90.00, 90.00 and 90.00 degrees. Symmetry generates all atoms from Cs at (0.000, 0.000, 0.000), Tl at (0.500, 0.500, 0.500), N at (0.000, 0.000, 0.500) and O at (0.000, 0.500, 0.000).


Entry 3:
CsTlNO2: optimized geometry, GGA-PBE.

The volume is 97.8 Å³/f.u. Its crystal system is tetragonal. The formation energy without anion corrections is 0.351 eV per atom.

The space group is P4/mmm (No. 123) and the conventional cell measures 4.516, 4.516 and 4.798 Å, with angles of 90.00, 90.00 and 90.00 degrees. Symmetry generates all atoms from Cs at (0.000, 0.000, 0.000), Tl at (0.500, 0.500, 0.500), N at (0.500, 0.500, 0.000) and O at (0.000, 0.500, 0.500).


Taking the records one at a time from the top gives total magnetization values of 2.99, 2.04, 2.98 Bohr magnetons per cell.